No. 1
Material: CaPuAs2
Method: DFT, PBE-GGA
State: relaxed

Summary:
Fermi-level density of states (states/eV per atom): 3.121
Uncorrected energy (eV/cell): -29.46
E_form (eV/atom): -0.956
Size of the total moment (μB per formula unit): 4.1

```
CaPuAs2
1.0
-3.787 -0.613 -1.642
-0.404 -2.079 -3.596
-1.958 -6.903 1.790
Ca Pu As
1 1 2
Direct
0.497 0.497 0.509 Ca
0.669 0.669 0.994 Pu
0.076 0.076 0.771 As
0.258 0.258 0.225 As
```

=====

No. 2
Material: CaPuAs2
Method: DFT, PBE-GGA
State: relaxed

Summary:
Fermi-level density of states (states/eV per atom): 2.351
Uncorrected energy (eV/cell): -29.00
E_form (eV/atom): -0.842
Size of the total moment (μB per formula unit): 5.4

```
CaPuAs2
1.0
-0.608 -3.036 -0.542
2.993 0.199 -4.476
4.357 -1.382 2.852
As Ca Pu
2 1 1
Direct
0.000 0.000 0.500 As
0.000 0.500 0.000 As
0.500 0.500 0.500 Ca
0.500 0.000 0.000 Pu
```

=====

| no. | energy relative to the lowest polymorph listed for this composition (eV/atom) |
| --- | --- |
| 1 | 0.079 |
| 2 | 0.193 |